(1)
Density functional theory data (PBE) for a relaxed TbEr2TmTe6 crystal.

Cell: 8.262 8.262 8.262 Å, 55.12 55.12 55.12°
Fractional positions:
Tb1 0.000 0.000 0.000
Er1 0.314 0.314 0.314
Er2 0.815 0.815 0.815
Tm1 0.499 0.499 0.499
Te1 0.093 0.718 0.411
Te2 0.223 0.590 0.906
Te3 0.411 0.093 0.718
Te4 0.590 0.906 0.223
Te5 0.718 0.411 0.093
Te6 0.906 0.223 0.590

## Properties
**E_tot**: -50.5 eV/cell

=====

(2)
Density functional theory data (PBE) for a relaxed Ho4Ni3Ir crystal.

Cell: 3.750 4.189 10.276 Å, 90.00 90.00 90.00°
Fractional positions:
Ho1 0.000 0.000 0.000
Ho2 0.000 0.500 0.278
Ho3 0.500 0.000 0.499
Ho4 0.500 0.500 0.783
Ni1 0.000 0.500 0.558
Ni2 0.500 0.000 0.210
Ni3 0.500 0.500 0.072
Ir1 0.000 0.000 0.717

## Properties
**DFT formation energy**: -13.3 kcal/mol of atoms

=====

(3)
Density functional theory data (PBE) for a relaxed LaAg2Pd2 crystal.

Cell: 7.118 7.118 7.118 Å, 147.07 147.07 47.25°
Fractional positions:
La1 0.000 0.000 0.000
Ag1 0.250 0.750 0.500
Ag2 0.750 0.250 0.500
Pd1 0.399 0.399 0.000
Pd2 0.601 0.601 0.000

## Properties
**Relative energy among the computed polymorphs**: 0 meV/atom
**DFT formation energy**: -10.0 kcal/mol of atoms

=====

(4)
Density functional theory data (PBE) for a relaxed LaTiReAg2 crystal.

Cell: 5.242 5.242 4.504 Å, 90.00 90.00 90.00°
Fractional positions:
La1 0.000 0.000 0.000
Ti1 0.500 0.500 0.000
Re1 0.500 0.500 0.500
Ag1 0.000 0.500 0.500
Ag2 0.500 0.000 0.500

## Properties
**DFT formation energy**: 13.3 kcal/mol of atoms

=====

(5)
Density functional theory data (PBE) for a relaxed ZnIn2IrPb crystal.

Cell: 5.167 5.167 4.914 Å, 90.00 90.00 90.00°
Fractional positions:
Zn1 0.000 0.000 0.000
In1 0.000 0.500 0.500
In2 0.500 0.000 0.500
Ir1 0.000 0.000 0.500
Pb1 0.500 0.500 0.000

## Properties
**DFT formation energy**: 2.1 kcal/mol of atoms

=====

(6)
Density functional theory data (PBE) for a relaxed Li2GePb crystal.

Cell: 10.030 10.030 10.030 Å, 155.51 155.51 34.91°
Fractional positions:
Li1 0.096 0.625 0.971
Li2 0.375 0.346 0.471
Li3 0.654 0.125 0.029
Li4 0.875 0.904 0.529
Ge1 0.000 0.000 0.000
Ge2 0.750 0.250 0.500
Pb1 0.250 0.750 0.500
Pb2 0.500 0.500 0.000

## Properties
**Relative energy among the computed polymorphs**: 163 meV/atom
**DFT formation energy**: -1.1 kcal/mol of atoms

=====

(7)
Density functional theory data (PBE) for a relaxed MnV2Ru crystal.

Cell: 5.217 5.217 5.217 Å, 150.54 128.46 60.49°
Fractional positions:
Mn1 0.000 0.000 0.000
V1 0.239 0.239 0.000
V2 0.761 0.761 0.000
Ru1 0.500 0.500 0.000

## Properties
**DFT formation energy**: 10.8 kcal/mol of atoms

=====

(8)
Density functional theory data (PBE) for a relaxed CsLiTe2 crystal.

Cell: 4.667 5.905 6.019 Å, 97.58 90.10 90.07°
Fractional positions:
Cs1 0.000 0.000 0.000
Li1 0.999 0.500 0.500
Te1 0.499 0.563 0.243
Te2 0.500 0.437 0.757

## Properties
**Relative energy among the computed polymorphs**: 36 meV/atom

=====

(9)
Density functional theory data (PBE) for a relaxed Ho6SbTe3As2 crystal.

Cell: 9.597 9.597 8.602 Å, 103.89 103.89 25.49°
Fractional positions:
Ho1 0.012 0.012 0.251
Ho2 0.325 0.325 0.433
Ho3 0.332 0.332 0.888
Ho4 0.668 0.668 0.112
Ho5 0.675 0.675 0.567
Ho6 0.988 0.988 0.749
Sb1 0.500 0.500 0.000
Te1 0.163 0.163 0.833
Te2 0.500 0.500 0.500
Te3 0.837 0.837 0.167
As1 0.168 0.168 0.336
As2 0.832 0.832 0.664

## Properties
**E_tot**: -67.0 eV/cell

=====

(10)
Density functional theory data (PBE) for a relaxed SrHfNF2 crystal.

Cell: 4.314 4.314 4.242 Å, 90.00 90.00 90.00°
Fractional positions:
Sr1 0.000 0.000 0.000
Hf1 0.500 0.500 0.500
N1 0.500 0.500 0.000
F1 0.000 0.500 0.500
F2 0.500 0.000 0.500

## Properties
**Relative energy among the computed polymorphs**: 0 meV/atom

=====

(11)
Density functional theory data (PBE) for a relaxed LiLa2Hg crystal.

Cell: 3.670 4.544 7.111 Å, 90.00 90.00 90.00°
Fractional positions:
Li1 0.000 0.000 0.000
La1 0.500 0.500 0.273
La2 0.500 0.500 0.727
Hg1 0.000 0.000 0.500

## Properties
**DFT formation energy**: -4.5 kcal/mol of atoms

=====

(12)
Density functional theory data (PBE) for a relaxed LaPmAg2 crystal.

Cell: 3.765 3.765 7.600 Å, 90.00 90.00 90.00°
Fractional positions:
La1 0.000 0.000 0.000
Pm1 0.000 0.000 0.500
Ag1 0.500 0.500 0.264
Ag2 0.500 0.500 0.736

## Properties
**Relative energy among the computed polymorphs**: 0 meV/atom
**DFT formation energy**: -6.1 kcal/mol of atoms

=====

(13)
Density functional theory data (PBE) for a relaxed CePmBe2Si2 crystal.

Cell: 3.918 3.918 8.382 Å, 90.00 90.00 120.00°
Fractional positions:
Ce1 0.000 0.000 0.000
Pm1 0.000 0.000 0.500
Be1 0.333 0.667 0.754
Be2 0.667 0.333 0.246
Si1 0.333 0.667 0.247
Si2 0.667 0.333 0.753

## Properties
**E_tot**: -32.5 eV/cell

=====

(14)
Density functional theory data (PBE) for a relaxed Tb3H crystal.

Cell: 5.977 5.977 5.977 Å, 147.34 68.50 121.64°
Fractional positions:
Tb1 0.000 0.000 0.000
Tb2 0.296 0.475 0.821
Tb3 0.654 0.475 0.179
H1 0.315 0.815 0.500

## Properties
**E_tot**: -17.3 eV/cell

=====

(15)
Density functional theory data (PBE) for a relaxed LaPrSmDy2 crystal.

Cell: 7.236 7.236 7.239 Å, 90.00 90.00 107.81°
Fractional positions:
La1 0.234 0.766 0.750
La2 0.766 0.234 0.250
Pr1 0.500 0.500 0.250
Pr2 0.500 0.500 0.750
Sm1 0.222 0.778 0.250
Sm2 0.778 0.222 0.750
Dy1 0.187 0.187 0.000
Dy2 0.187 0.187 0.500
Dy3 0.813 0.813 0.000
Dy4 0.813 0.813 0.500

## Properties
**DFT formation energy**: 7.9 kcal/mol of atoms

=====

(16)
Density functional theory data (PBE) for a relaxed LiPmSeS crystal.

Cell: 4.513 4.513 8.904 Å, 90.00 90.00 90.00°
Fractional positions:
Li1 0.250 0.750 0.000
Li2 0.750 0.250 0.000
Pm1 0.250 0.250 0.327
Pm2 0.750 0.750 0.673
Se1 0.250 0.250 0.854
Se2 0.750 0.750 0.146
S1 0.250 0.750 0.500
S2 0.750 0.250 0.500

## Properties
**Relative energy among the computed polymorphs**: 0 meV/atom

=====

(17)
Density functional theory data (PBE) for a relaxed La2ZrNi crystal.

Cell: 3.680 6.357 6.357 Å, 47.13 90.00 90.00°
Fractional positions:
La1 0.000 0.000 0.000
La2 0.500 0.303 0.303
Zr1 0.500 0.604 0.604
Ni1 0.000 0.752 0.752

## Properties
**Relative energy among the computed polymorphs**: 27 meV/atom
**DFT formation energy**: -1.3 kcal/mol of atoms

=====

(18)
Density functional theory data (PBE) for a relaxed LaY2Tl2 crystal.

Cell: 5.342 6.697 9.404 Å, 102.97 90.12 113.44°
Fractional positions:
La1 0.068 0.138 0.356
La2 0.932 0.862 0.644
Y1 0.252 0.506 0.755
Y2 0.425 0.855 0.136
Y3 0.575 0.145 0.864
Y4 0.748 0.494 0.245
Tl1 0.138 0.271 0.038
Tl2 0.366 0.731 0.440
Tl3 0.634 0.269 0.560
Tl4 0.862 0.729 0.962

## Properties
**Relative energy among the computed polymorphs**: 10 meV/atom
**DFT formation energy**: -7.4 kcal/mol of atoms

=====

(19)
Density functional theory data (PBE) for a relaxed Dy3Tl4GeTe8 crystal.

Cell: 9.480 9.480 9.480 Å, 55.96 55.96 55.96°
Fractional positions:
Dy1 0.000 0.500 0.500
Dy2 0.500 0.000 0.500
Dy3 0.500 0.500 0.000
Tl1 0.000 0.000 0.500
Tl2 0.000 0.500 0.000
Tl3 0.500 0.000 0.000
Tl4 0.500 0.500 0.500
Ge1 0.000 0.000 0.000
Te1 0.234 0.234 0.742
Te2 0.234 0.742 0.234
Te3 0.258 0.766 0.766
Te4 0.261 0.261 0.261
Te5 0.739 0.739 0.739
Te6 0.742 0.234 0.234
Te7 0.766 0.258 0.766
Te8 0.766 0.766 0.258

## Properties
**E_tot**: -66.0 eV/cell

=====

(20)
Density functional theory data (PBE) for a relaxed Ag2BiC crystal.

Cell: 4.733 4.733 4.733 Å, 60.00 60.00 60.00°
Fractional positions:
Ag1 0.250 0.250 0.250
Ag2 0.750 0.750 0.750
Bi1 0.000 0.000 0.000
C1 0.500 0.500 0.500

## Properties
**Relative energy among the computed polymorphs**: 252 meV/atom
**DFT formation energy**: 32.5 kcal/mol of atoms

=====

(21)
Density functional theory data (PBE) for a relaxed AlCo3Sb crystal.

Cell: 4.289 4.289 4.289 Å, 90.00 90.00 90.00°
Fractional positions:
Al1 0.000 0.000 0.000
Co1 0.000 0.000 0.500
Co2 0.000 0.500 0.000
Co3 0.500 0.000 0.000
Sb1 0.500 0.500 0.500

## Properties
**Relative energy among the computed polymorphs**: 0 meV/atom

=====

(22)
Density functional theory data (PBE) for a relaxed TbY3Ru crystal.

Cell: 5.404 5.404 5.404 Å, 90.00 90.00 90.00°
Fractional positions:
Tb1 0.000 0.000 0.000
Y1 0.000 0.500 0.500
Y2 0.500 0.000 0.500
Y3 0.500 0.500 0.000
Ru1 0.500 0.500 0.500

## Properties
**Relative energy among the computed polymorphs**: 148 meV/atom
**DFT formation energy**: -1.1 kcal/mol of atoms

=====

(23)
Density functional theory data (PBE) for a relaxed PuScMnRu crystal.

Cell: 4.644 4.644 4.644 Å, 60.00 60.00 60.00°
Fractional positions:
Pu1 0.000 0.000 0.000
Sc1 0.500 0.500 0.500
Mn1 0.750 0.750 0.750
Ru1 0.250 0.250 0.250

## Properties
**DFT formation energy**: -4.5 kcal/mol of atoms

=====

(24)
Density functional theory data (PBE) for a relaxed BaRu2Pb crystal.

Cell: 3.551 4.915 4.928 Å, 90.00 90.00 90.00°
Fractional positions:
Ba1 0.000 0.000 0.000
Ru1 0.500 0.000 0.500
Ru2 0.500 0.500 0.000
Pb1 0.000 0.500 0.500

## Properties
**DFT formation energy**: 17.5 kcal/mol of atoms

=====

(25)
Density functional theory data (PBE) for a relaxed BiSbI2N crystal.

Cell: 4.907 4.907 5.309 Å, 90.00 90.00 90.00°
Fractional positions:
Bi1 0.000 0.000 0.000
Sb1 0.500 0.500 0.000
I1 0.000 0.500 0.500
I2 0.500 0.000 0.500
N1 0.500 0.500 0.500

## Properties
**Relative energy among the computed polymorphs**: 159 meV/atom

=====

(26)
Density functional theory data (PBE) for a relaxed Ba3ErSi2O8 crystal.

Cell: 5.754 5.754 7.713 Å, 90.00 90.00 120.00°
Fractional positions:
Ba1 0.000 0.000 0.000
Ba2 0.333 0.667 0.689
Ba3 0.667 0.333 0.311
Er1 0.000 0.000 0.500
Si1 0.333 0.667 0.232
Si2 0.667 0.333 0.768
O1 0.178 0.355 0.313
O2 0.178 0.822 0.313
O3 0.333 0.667 0.023
O4 0.355 0.178 0.687
O5 0.645 0.822 0.313
O6 0.667 0.333 0.977
O7 0.822 0.178 0.687
O8 0.822 0.645 0.687

## Properties
**E_tot**: -101.3 eV/cell

=====

no.,magnetization (μB/f.u.)
1,0.000
2,0.000
3,0.000
4,0.001
5,0.000
6,0.000
7,0.001
8,0.000
9,0.000
10,0.000
11,0.000
12,0.024
13,0.531
14,0.000
15,0.000
16,0.000
17,0.000
18,0.000
19,0.000
20,0.000
21,3.065
22,0.004
23,2.327
24,0.006
25,0.000
26,0.000